The following is a PBE-GGA calculation of a relaxed NdDySc3 crystal, from the Alexandria database.

As for the total energy: -5.629 eV/atom. Its formation energy is 4.2 kJ/mol of atoms. The calculation puts the density of states at the Fermi level at 1.699 states/eV per atom. The value obtained for the volume is 27.96 Å³ per atom. Its energy relative to the lowest polymorph listed for this composition is 0.0 meV/atom.

The space group is C2/m (No. 12) and the conventional cell measures 20.778, 3.475 and 8.061 Å, with angles of 90.00, 106.05 and 90.00 degrees. Symmetry generates all atoms from Nd at (0.182, 0.000, 0.378), Dy at (0.110, 0.500, 0.006), Sc at (0.017, 0.000, 0.236), Sc at (0.081, 0.500, 0.588) and Sc at (0.215, 0.000, 0.824).